Density functional theory data (PBE with a Hubbard U) for an optimized crystal structure of PmCr2TcO8.

Properties
**Electronic total energy**: -92.19 eV per cell
**Space-group type**: P2/m
**DOS(E_F)**: 1.93 states/eV/f.u.

a = 4.7430 Å, b = 6.4493 Å, c = 4.7496 Å
α = 90.00°, β = 91.27°, γ = 90.00°
With the nearest neighbours (Å) after each atom.
Positions (direct):
Pm: 0.0000 0.0000 0.0000  6 O 2.23-2.31
Cr: 0.5000 0.2495 0.5000  6 O 1.99-2.16
Cr: 0.5000 0.7505 0.5000  6 O 1.99-2.16
Tc: 0.0000 0.5000 0.0000  6 O 1.89-1.97
O: 0.2025 0.2930 0.2005  1 Tc 1.89, 1 Cr 2.00
O: 0.2025 0.7070 0.2005  1 Tc 1.89, 1 Cr 2.00
O: 0.2890 0.5000 0.7094  1 Tc 1.97, 2 Cr 2.16
O: 0.3271 0.0000 0.6704  2 Cr 1.99
O: 0.6729 0.0000 0.3296  2 Cr 1.99
O: 0.7110 0.5000 0.2906  1 Tc 1.97, 2 Cr 2.16
O: 0.7975 0.2930 0.7995  1 Tc 1.89, 1 Cr 2.00
O: 0.7975 0.7070 0.7995  1 Tc 1.89, 1 Cr 2.00